Entry from Alexandria: a geometry-optimized BaLiCd structure (GGA-PBE).

Properties
The calculation puts the calculated formation energy at -0.027 eV/atom. As for the polymorph energy (0 for the lowest one): 0.52 eV/f.u.

Cell: 7.849 7.849 7.849 Å, 90.00 90.00 90.00°
Space group F-43m (No. 216)
Unique sites:
Ba: 0.000 0.000 0.000 x4
Li: 0.000 0.000 0.500 x4
Cd: 0.250 0.250 0.250 x4


Entry from Alexandria: a geometry-optimized Tb2CuS4 structure (GGA-PBE).

Properties
The energy relative to the elements, uncorrected is -998 kJ/mol of formula units.

Cell: 6.680 5.579 7.779 Å, 90.00 106.91 90.00°
Space group P2_1/m (No. 11)
Unique sites:
Tb: 0.234 0.250 0.434 x2
Tb: 0.236 0.250 0.932 x2
Cu: 0.247 0.750 0.186 x2
S: 0.068 0.750 0.393 x2
S: 0.068 0.750 0.891 x2
S: 0.484 0.513 0.744 x4


Entry from Alexandria: a geometry-optimized NaCrAs2 structure (GGA-PBE).

Properties
The calculation puts the calculated formation energy at -0.185 eV/atom. As for the polymorph energy (0 for the lowest one): 0.00 eV/f.u.

Cell: 3.2115 3.2115 24.2477 Å, 90.00 90.00 120.00°
Space group R-3m (No. 166, hexagonal axes)
Unique sites:
Na: 0.0000 0.0000 0.0000 x3
Cr: 0.0000 0.0000 0.5000 x3
As: 0.0000 0.0000 0.2334 x6


Ordered E results: -1.61, -5.74, -5.25; unit eV per atom.